Entry 1:
# LiCuBOs PBE relaxed
# **Calculated volume**: 11.0 Å³/atom
# **Excess energy over the best structure of this formula in the dataset**: 2.47 eV/f.u.
# **Electronic total energy**: -79.1 eV per cell
data_LiCuBOs
_cell_length_a 5.5969
_cell_length_b 5.5969
_cell_length_c 5.5969
_cell_angle_alpha 90.00
_cell_angle_beta 90.00
_cell_angle_gamma 90.00
_space_group_name_H-M_alt 'F -4 3 m'
_space_group_IT_number 216
_space_group_name_Hall 'F -4 2 3'
loop_
_atom_site_label
_atom_site_type_symbol
_atom_site_fract_x
_atom_site_fract_y
_atom_site_fract_z
_atom_site_occupancy
Li1 Li 0.0000 0.0000 0.0000 1
Cu1 Cu 0.0000 0.0000 0.5000 1
B1 B 0.2500 0.2500 0.2500 1
Os1 Os 0.2500 0.2500 0.7500 1


Entry 2:
# LiCuBPd PBE relaxed
# **Calculated volume**: 10.5 Å³/atom
# **Excess energy over the best structure of this formula in the dataset**: 0.00 eV/f.u.
# **Electronic total energy**: -69.1 eV per cell
data_LiCuBPd
_cell_length_a 5.5190
_cell_length_b 5.5190
_cell_length_c 5.5190
_cell_angle_alpha 90.00
_cell_angle_beta 90.00
_cell_angle_gamma 90.00
_space_group_name_H-M_alt 'F -4 3 m'
_space_group_IT_number 216
_space_group_name_Hall 'F -4 2 3'
loop_
_atom_site_label
_atom_site_type_symbol
_atom_site_fract_x
_atom_site_fract_y
_atom_site_fract_z
_atom_site_occupancy
Li1 Li 0.0000 0.0000 0.0000 1
Cu1 Cu 0.2500 0.2500 0.7500 1
B1 B 0.0000 0.0000 0.5000 1
Pd1 Pd 0.2500 0.2500 0.2500 1


Entry 3:
# LiCuReB PBE relaxed
# **Calculated volume**: 11.2 Å³/atom
# **Excess energy over the best structure of this formula in the dataset**: 2.29 eV/f.u.
# **Electronic total energy**: -81.8 eV per cell
data_LiCuReB
_cell_length_a 5.6308
_cell_length_b 5.6308
_cell_length_c 5.6308
_cell_angle_alpha 90.00
_cell_angle_beta 90.00
_cell_angle_gamma 90.00
_space_group_name_H-M_alt 'F -4 3 m'
_space_group_IT_number 216
_space_group_name_Hall 'F -4 2 3'
loop_
_atom_site_label
_atom_site_type_symbol
_atom_site_fract_x
_atom_site_fract_y
_atom_site_fract_z
_atom_site_occupancy
Li1 Li 0.0000 0.0000 0.0000 1
Cu1 Cu 0.0000 0.0000 0.5000 1
Re1 Re 0.2500 0.2500 0.7500 1
B1 B 0.2500 0.2500 0.2500 1


Entry 4:
# LiCuReB PBE relaxed
# **Calculated volume**: 10.3 Å³/atom
# **Excess energy over the best structure of this formula in the dataset**: 0.00 eV/f.u.
# **Electronic total energy**: -91.0 eV per cell
data_LiCuReB
_cell_length_a 5.4872
_cell_length_b 5.4872
_cell_length_c 5.4872
_cell_angle_alpha 90.00
_cell_angle_beta 90.00
_cell_angle_gamma 90.00
_space_group_name_H-M_alt 'F -4 3 m'
_space_group_IT_number 216
_space_group_name_Hall 'F -4 2 3'
loop_
_atom_site_label
_atom_site_type_symbol
_atom_site_fract_x
_atom_site_fract_y
_atom_site_fract_z
_atom_site_occupancy
Li1 Li 0.0000 0.0000 0.0000 1
Cu1 Cu 0.2500 0.2500 0.7500 1
Re1 Re 0.2500 0.2500 0.2500 1
B1 B 0.0000 0.0000 0.5000 1


Entry 5:
# LiScCu4B2 PBE relaxed
# **Calculated volume**: 11.2 Å³/atom
# **Electronic total energy**: -34.9 eV per cell
data_LiScCu4B2
_cell_length_a 3.7699
_cell_length_b 3.7699
_cell_length_c 6.2774
_cell_angle_alpha 90.00
_cell_angle_beta 90.00
_cell_angle_gamma 90.00
_space_group_name_H-M_alt 'P 4/m m m'
_space_group_IT_number 123
_space_group_name_Hall '-P 4 2'
loop_
_atom_site_label
_atom_site_type_symbol
_atom_site_fract_x
_atom_site_fract_y
_atom_site_fract_z
_atom_site_occupancy
Li1 Li 0.0000 0.0000 0.0000 1
Sc1 Sc 0.5000 0.5000 0.5000 1
Cu1 Cu 0.0000 0.5000 0.2103 1
B1 B 0.0000 0.0000 0.5000 1
B2 B 0.5000 0.5000 0.0000 1


Entry 6:
# LiTaCuB PBE relaxed
# **Calculated volume**: 11.1 Å³/atom
# **Excess energy over the best structure of this formula in the dataset**: 0.00 eV/f.u.
# **Electronic total energy**: -90.6 eV per cell
data_LiTaCuB
_cell_length_a 5.6262
_cell_length_b 5.6262
_cell_length_c 5.6262
_cell_angle_alpha 90.00
_cell_angle_beta 90.00
_cell_angle_gamma 90.00
_space_group_name_H-M_alt 'F -4 3 m'
_space_group_IT_number 216
_space_group_name_Hall 'F -4 2 3'
loop_
_atom_site_label
_atom_site_type_symbol
_atom_site_fract_x
_atom_site_fract_y
_atom_site_fract_z
_atom_site_occupancy
Li1 Li 0.0000 0.0000 0.0000 1
Ta1 Ta 0.2500 0.2500 0.2500 1
Cu1 Cu 0.2500 0.2500 0.7500 1
B1 B 0.0000 0.0000 0.5000 1